! LiPaSnPt (PBE, relaxed); values from VASP
! * DOS(E_F): 4.27 states/eV/f.u.
! * formation enthalpy at 0 K: -520 meV/atom
! * V: 317.7 Å³ per cell
! * uncorrected energy: -5.884 eV per atom
&SYSTEM
  ibrav = 0, nat = 16, ntyp = 4
/
ATOMIC_SPECIES
Li 6.94 Li.upf
Pa 231.04 Pa.upf
Sn 118.71 Sn.upf
Pt 195.08 Pt.upf
ATOMIC_POSITIONS crystal
Li 0.0000 0.0000 0.0000
Li 0.0000 0.5000 0.5000
Li 0.5000 0.0000 0.5000
Li 0.5000 0.5000 0.0000
Pa 0.2500 0.2500 0.2500
Pa 0.2500 0.7500 0.7500
Pa 0.7500 0.2500 0.7500
Pa 0.7500 0.7500 0.2500
Sn 0.2500 0.2500 0.7500
Sn 0.2500 0.7500 0.2500
Sn 0.7500 0.2500 0.2500
Sn 0.7500 0.7500 0.7500
Pt 0.0000 0.0000 0.5000
Pt 0.0000 0.5000 0.0000
Pt 0.5000 0.0000 0.0000
Pt 0.5000 0.5000 0.5000
CELL_PARAMETERS angstrom
6.8235 0.0000 0.0000
0.0000 6.8235 0.0000
0.0000 0.0000 6.8235

***

! YAl2Te (PBE, relaxed); values from VASP
! * DOS(E_F): 3.06 states/eV/f.u.
! * formation energy from raw total energies: -0.2240 eV/atom
! * V: 92.3 Å³ per cell
! * uncorrected energy: -4.497 eV per atom
&SYSTEM
  ibrav = 0, nat = 4, ntyp = 3
/
ATOMIC_SPECIES
Y 88.91 Y.upf
Al 26.98 Al.upf
Te 127.60 Te.upf
ATOMIC_POSITIONS crystal
Y 0.0000 0.0000 0.0000
Al 0.5000 0.5000 0.2722
Al 0.5000 0.5000 0.7278
Te 0.0000 0.0000 0.5000
CELL_PARAMETERS angstrom
3.8073 0.0000 0.0000
0.0000 3.8073 0.0000
0.0000 0.0000 6.3668

***

! Mn2AlZn3 (PBE, relaxed); values from VASP
! * DOS(E_F): 2.70 states/eV/f.u.
! * formation enthalpy at 0 K: -14 meV/atom
! * V: 168.4 Å³ per cell
! * uncorrected energy: -4.331 eV per atom
&SYSTEM
  ibrav = 0, nat = 12, ntyp = 3
/
ATOMIC_SPECIES
Mn 54.94 Mn.upf
Al 26.98 Al.upf
Zn 65.41 Zn.upf
ATOMIC_POSITIONS crystal
Mn 0.1190 0.6290 0.8759
Mn 0.3710 0.8810 0.6241
Mn 0.6290 0.1190 0.3759
Mn 0.8810 0.3710 0.1241
Al 0.0850 0.9150 0.2500
Al 0.9150 0.0850 0.7500
Zn 0.1701 0.3403 0.4988
Zn 0.3403 0.1701 0.9988
Zn 0.4220 0.5780 0.2500
Zn 0.5780 0.4220 0.7500
Zn 0.6597 0.8299 0.0012
Zn 0.8299 0.6597 0.5012
CELL_PARAMETERS angstrom
3.4449 -3.6625 0.0000
3.4449 3.6625 0.0000
-1.6903 0.0000 6.6753

***

! Ac3Ga2Pd9Pb (PBE, relaxed); values from VASP
! * DOS(E_F): 6.46 states/eV/f.u.
! * formation enthalpy at 0 K: -592 meV/atom
! * V: 357.0 Å³ per cell
! * uncorrected energy: -5.180 eV per atom
&SYSTEM
  ibrav = 0, nat = 15, ntyp = 4
/
ATOMIC_SPECIES
Ac 227.00 Ac.upf
Ga 69.72 Ga.upf
Pd 106.42 Pd.upf
Pb 207.20 Pb.upf
ATOMIC_POSITIONS crystal
Ac 0.0000 0.0000 0.0000
Ac 0.3333 0.6667 0.7368
Ac 0.6667 0.3333 0.2632
Ga 0.3333 0.6667 0.1594
Ga 0.6667 0.3333 0.8406
Pd 0.0000 0.5000 0.0000
Pd 0.1633 0.3266 0.3114
Pd 0.1633 0.8367 0.3114
Pd 0.3266 0.1633 0.6886
Pd 0.5000 0.0000 0.0000
Pd 0.5000 0.5000 0.0000
Pd 0.6734 0.8367 0.3114
Pd 0.8367 0.1633 0.6886
Pd 0.8367 0.6734 0.6886
Pb 0.0000 0.0000 0.5000
CELL_PARAMETERS angstrom
5.9385 0.0000 0.0000
-2.9692 5.1429 0.0000
0.0000 0.0000 11.6893

***

! NiCl (PBE, relaxed); values from VASP
! * DOS(E_F): 2.53 states/eV/f.u.
! * formation energy from raw total energies: -0.0530 eV/atom
! * V: 71.9 Å³ per cell
! * uncorrected energy: -3.867 eV per atom
&SYSTEM
  ibrav = 0, nat = 4, ntyp = 2
/
ATOMIC_SPECIES
Ni 58.69 Ni.upf
Cl 35.45 Cl.upf
ATOMIC_POSITIONS crystal
Ni 0.3333 0.6667 0.0000
Ni 0.6667 0.3333 0.5000
Cl 0.3333 0.6667 0.6468
Cl 0.6667 0.3333 0.1468
CELL_PARAMETERS angstrom
3.6174 0.0000 0.0000
-1.8087 3.1327 0.0000
0.0000 0.0000 6.3459

***

! LiY2Pd2 (PBE, relaxed); values from VASP
! * DOS(E_F): 2.21 states/eV/f.u.
! * formation enthalpy at 0 K: -696 meV/atom
! * V: 222.8 Å³ per cell
! * offset from the most stable computed form: 0 meV per atom
! * uncorrected energy: -5.741 eV per atom
&SYSTEM
  ibrav = 0, nat = 10, ntyp = 3
/
ATOMIC_SPECIES
Li 6.94 Li.upf
Y 88.91 Y.upf
Pd 106.42 Pd.upf
ATOMIC_POSITIONS crystal
Li 0.0000 0.0000 0.0000
Li 0.5000 0.5000 0.0000
Y 0.1658 0.3342 0.5000
Y 0.3342 0.8342 0.5000
Y 0.6658 0.1658 0.5000
Y 0.8342 0.6658 0.5000
Pd 0.1334 0.6334 0.0000
Pd 0.3666 0.1334 0.0000
Pd 0.6334 0.8666 0.0000
Pd 0.8666 0.3666 0.0000
CELL_PARAMETERS angstrom
7.6867 0.0000 0.0000
0.0000 7.6867 0.0000
0.0000 0.0000 3.7708